Entry a
Density functional theory data (GGA-PBE) for an optimized crystal structure of YReB4.

Lattice parameters (Å, degrees): 4.709 4.709 4.709 140.92 110.31 82.91
Sites, in units of the cell vectors:
B: 0.585 0.249 0.336
B: 0.088 0.751 0.336
B: 0.912 0.249 0.664
B: 0.415 0.751 0.664
Re: 0.500 0.500 0.000
Y: 0.000 0.000 0.000

Summary:
space-group type	No. 71
total magnetic moment	0.00	Bohr magnetons per cell

Entry b
Density functional theory data (GGA-PBE) for an optimized crystal structure of YReB4.

Lattice parameters (Å, degrees): 3.142 3.142 7.022 90.00 90.00 120.00
Sites, in units of the cell vectors:
B: 0.667 0.333 0.275
B: 0.333 0.667 0.275
B: 0.667 0.333 0.725
B: 0.333 0.667 0.725
Re: 0.000 0.000 0.500
Y: 0.000 0.000 0.000

Summary:
space-group type	No. 191
total magnetic moment	0.00	Bohr magnetons per cell

Short version: entry b is the most stable of them.

Entry a
Density functional theory data (GGA-PBE) for an optimized crystal structure of Y3ReB7.

Lattice parameters (Å, degrees): 8.094 8.094 9.355 90.00 90.00 154.77
Sites, in units of the cell vectors:
B: 0.773 0.227 0.034
B: 0.979 0.021 0.095
B: 0.868 0.132 0.150
B: 0.043 0.957 0.250
B: 0.868 0.132 0.350
B: 0.979 0.021 0.405
B: 0.773 0.227 0.466
B: 0.227 0.773 0.534
B: 0.021 0.979 0.595
B: 0.132 0.868 0.650
B: 0.957 0.043 0.750
B: 0.132 0.868 0.850
B: 0.021 0.979 0.905
B: 0.227 0.773 0.966
Re: 0.447 0.553 0.250
Re: 0.553 0.447 0.750
Y: 0.605 0.395 0.060
Y: 0.258 0.742 0.250
Y: 0.605 0.395 0.440
Y: 0.395 0.605 0.560
Y: 0.742 0.258 0.750
Y: 0.395 0.605 0.940

Summary:
space-group type	No. 63
total magnetic moment	0.04	Bohr magnetons per cell

Entry b
Density functional theory data (GGA-PBE) for an optimized crystal structure of Y3ReB7.

Lattice parameters (Å, degrees): 3.641 7.785 10.085 90.00 90.00 76.48
Sites, in units of the cell vectors:
B: 0.449 0.103 0.054
B: 0.552 0.895 0.115
B: 0.343 0.313 0.160
B: 0.619 0.763 0.250
B: 0.343 0.313 0.340
B: 0.552 0.895 0.385
B: 0.449 0.103 0.446
B: 0.551 0.897 0.554
B: 0.448 0.105 0.615
B: 0.657 0.687 0.660
B: 0.381 0.237 0.750
B: 0.657 0.687 0.840
B: 0.448 0.105 0.885
B: 0.551 0.897 0.946
Re: 0.775 0.450 0.250
Re: 0.225 0.550 0.750
Y: 0.166 0.669 0.056
Y: 0.971 0.058 0.250
Y: 0.166 0.669 0.444
Y: 0.834 0.331 0.556
Y: 0.029 0.942 0.750
Y: 0.834 0.331 0.944

Summary:
space-group type	No. 63
total magnetic moment	0.00	Bohr magnetons per cell

Short version: entry a is the most stable of them.

Entry a
Density functional theory data (GGA-PBE) for an optimized crystal structure of ZrReB.

Lattice parameters (Å, degrees): 4.174 4.174 4.174 60.00 60.00 60.00
Sites, in units of the cell vectors:
B: 0.250 0.250 0.250
Re: 0.000 0.000 0.000
Zr: 0.750 0.750 0.750

Summary:
space-group type	No. 216
total magnetic moment	0.01	Bohr magnetons per cell

Entry b
Density functional theory data (GGA-PBE) for an optimized crystal structure of ZrReB.

Lattice parameters (Å, degrees): 4.248 4.248 4.248 60.00 60.00 60.00
Sites, in units of the cell vectors:
B: 0.250 0.250 0.250
Re: 0.750 0.750 0.750
Zr: 0.000 0.000 0.000

Summary:
space-group type	No. 216
total magnetic moment	0.00	Bohr magnetons per cell

Short version: entry a is the most stable of them.